1.
First-principles (PBE-GGA) data for a geometry-optimized AcMgGeIr2 structure, as listed in Alexandria.

- crystal system = orthorhombic
- V (Å³ per atom) = 20.56
- total magnetization (μB per formula unit) = 0.0
- Fermi-level density of states (states/eV per cell) = 6.1

abc: 4.0819 4.3674 11.5325
angles: 90.00 90.00 90.00
Last column: nearest neighbours and their distance in Å.
Space group Imm2 (No. 44)
One atom of each set of equivalent atoms:
1 Ac 0.0000 0.0000 0.0000 x2  6 Ir 3.18-3.44, 4 Ge 3.32, 2 Mg 3.51
2 Mg 0.0000 0.5000 0.7612 x2  2 Ir 2.64, 2 Ge 2.68
3 Ge 0.0000 0.0000 0.6258 x2  3 Ir 2.52-2.56, 2 Mg 2.68
4 Ir 0.0000 0.0000 0.4071 x2  1 Ge 2.52, 2 Mg 2.64, 2 Ir 2.77
5 Ir 0.0000 0.5000 0.2598 x2  2 Ge 2.56, 2 Ir 2.77


2.
First-principles (PBE-GGA) data for a geometry-optimized AcMgGe2Ir2 structure, as listed in Alexandria.

- crystal system = trigonal
- V (Å³ per atom) = 20.13
- total magnetization (μB per formula unit) = 0.0
- Fermi-level density of states (states/eV per cell) = 3.3

abc: 4.3960 4.3960 7.2180
angles: 90.00 90.00 120.00
Last column: nearest neighbours and their distance in Å.
Space group P-3m1 (No. 164)
One atom of each set of equivalent atoms:
1 Ac 0.0000 0.0000 0.0000 x1  6 Ge 3.39, 6 Ir 3.41, 2 Mg 3.61
2 Mg 0.0000 0.0000 0.5000 x1  6 Ir 2.87, 6 Ge 2.88
3 Ge 0.3333 0.6667 0.3117 x2  4 Ir 2.54-2.69
4 Ir 0.3333 0.6667 0.6848 x2  4 Ge 2.54-2.69


3.
First-principles (PBE-GGA) data for a geometry-optimized AcMg2GeIr2 structure, as listed in Alexandria.

- crystal system = tetragonal
- V (Å³ per atom) = 23.13
- total magnetization (μB per formula unit) = 0.8
- Fermi-level density of states (states/eV per cell) = 4.9

abc: 4.7144 4.7144 6.2451
angles: 90.00 90.00 90.00
Last column: nearest neighbours and their distance in Å.
Space group P4/mmm (No. 123)
One atom of each set of equivalent atoms:
1 Ac 0.0000 0.0000 0.0000 x1  2 Ge 3.12
2 Mg 0.5000 0.5000 0.2583 x2  4 Ir 2.80, 1 Mg 3.02
3 Ge 0.0000 0.0000 0.5000 x1  4 Ir 2.36
4 Ir 0.0000 0.5000 0.5000 x2  2 Ge 2.36


4.
First-principles (PBE-GGA) data for a geometry-optimized AcMgGe2Ir structure, as listed in Alexandria.

- crystal system = tetragonal
- V (Å³ per atom) = 21.07
- total magnetization (μB per formula unit) = 0.0
- Fermi-level density of states (states/eV per cell) = 6.6

abc: 4.3221 4.3221 11.2785
angles: 90.00 90.00 90.00
Last column: nearest neighbours and their distance in Å.
Space group I-4m2 (No. 119)
One atom of each set of equivalent atoms:
1 Ac 0.0000 0.0000 0.0000 x2  8 Ge 3.34, 4 Mg 3.55, 4 Ir 3.55
2 Mg 0.0000 0.5000 0.2500 x2  4 Ge 2.61
3 Ge 0.0000 0.0000 0.3805 x4  2 Mg 2.61, 2 Ir 2.61, 1 Ge 2.70
4 Ir 0.0000 0.5000 0.7500 x2  4 Ge 2.61


| no. | uncorrected energy (eV/atom) |
| --- | --- |
| 1 | -6.132 |
| 2 | -6.067 |
| 3 | -5.152 |
| 4 | -5.361 |